Record 1
Here is a relaxed TlBiHPb2 crystal from the Alexandria database. Energies are from GGA-PBE.

```
TlBiHPb2
1.0
5.126 0.000 0.000
0.000 5.126 0.000
0.000 0.000 4.963
Tl Bi H Pb
1 1 1 2
direct
0.000 0.000 0.000
0.500 0.500 0.000
0.500 0.500 0.500
0.000 0.500 0.500
0.500 0.000 0.500
```

Values from the calculation:
Calculated volume ... 130.39 Å³/cell
Size of the total moment ... 0.000 μB per atom
E above lowest polymorph ... 13 meV per atom

=====

Record 2
Here is a relaxed Li4CoCl6 crystal from the Alexandria database. Energies are from GGA-PBE.

```
Li4CoCl6
1.0
5.927 -3.595 0.000
5.927 3.595 0.000
-3.776 0.000 11.732
Li Co Cl
8 2 12
direct
0.026 0.303 0.826
0.039 0.961 0.500
0.104 0.574 0.168
0.303 0.026 0.326
0.543 0.757 0.030
0.574 0.104 0.668
0.757 0.543 0.530
0.961 0.039 0.000
0.125 0.687 0.756
0.687 0.125 0.256
0.080 0.639 0.566
0.257 0.810 0.138
0.262 0.922 0.869
0.335 0.353 0.807
0.353 0.335 0.307
0.431 0.889 0.507
0.639 0.080 0.066
0.787 0.835 0.802
0.810 0.257 0.638
0.835 0.787 0.302
0.889 0.431 0.007
0.922 0.262 0.369
```

Values from the calculation:
Calculated volume ... 499.99 Å³/cell
Size of the total moment ... 0.273 μB per atom
ΔE_f (raw) ... -1.440 eV/atom

=====

Record 3
Here is a relaxed CsU4Ir3Se12 crystal from the Alexandria database. Energies are from GGA-PBE.

```
CsU4Ir3Se12
1.0
-5.120 5.120 5.120
5.120 -5.120 5.120
5.120 5.120 -5.120
Cs U Ir Se
1 4 3 12
direct
0.000 0.000 0.000
0.000 0.000 0.500
0.000 0.500 0.000
0.500 0.000 0.000
0.500 0.500 0.500
0.000 0.500 0.500
0.500 0.000 0.500
0.500 0.500 0.000
0.160 0.834 0.325
0.166 0.325 0.491
0.166 0.675 0.840
0.325 0.160 0.834
0.325 0.491 0.166
0.491 0.166 0.325
0.509 0.834 0.675
0.675 0.509 0.834
0.675 0.840 0.166
0.834 0.325 0.160
0.834 0.675 0.509
0.840 0.166 0.675
```

Values from the calculation:
Calculated volume ... 536.99 Å³/cell
Size of the total moment ... 0.198 μB per atom
ΔE_f (raw) ... -0.558 eV/atom

=====

Record 4
Here is a relaxed SrAlFe2 crystal from the Alexandria database. Energies are from GGA-PBE.

```
SrAlFe2
1.0
-1.498 2.534 4.944
1.498 -2.534 4.944
1.498 2.534 -4.944
Sr Al Fe
1 1 2
direct
0.000 0.000 0.000
0.299 0.799 0.500
0.523 0.523 0.000
0.708 0.208 0.500
```

Values from the calculation:
Energy of formation from the pure elements ... 0.45 eV/atom
Calculated volume ... 75.07 Å³/cell
Size of the total moment ... 1.148 μB per atom

=====

Record 5
Here is a relaxed Bi2BPb crystal from the Alexandria database. Energies are from GGA-PBE.

```
Bi2BPb
1.0
0.000 3.748 3.748
3.748 0.000 3.748
3.748 3.748 0.000
Bi B Pb
2 1 1
direct
0.250 0.250 0.250
0.750 0.750 0.750
0.000 0.000 0.000
0.500 0.500 0.500
```

Values from the calculation:
Energy of formation from the pure elements ... 1.03 eV/atom
Calculated volume ... 105.32 Å³/cell
Size of the total moment ... 0.000 μB per atom
E above lowest polymorph ... 420 meV per atom

=====

Record 6
Here is a relaxed Li2YNi crystal from the Alexandria database. Energies are from GGA-PBE.

```
Li2YNi
1.0
-2.329 2.337 3.317
2.329 -2.337 3.317
2.329 2.337 -3.317
Li Y Ni
2 1 1
direct
0.000 0.000 0.000
0.750 0.250 0.500
0.251 0.751 0.500
0.501 0.501 0.000
```

Values from the calculation:
Energy of formation from the pure elements ... 0.00 eV/atom
Calculated volume ... 72.22 Å³/cell
Size of the total moment ... 0.000 μB per atom
E above lowest polymorph ... 69 meV per atom